# 1
The following is a PBE calculation of a geometry-optimized TlCuMoPd structure, from OQMD.

The structure in POSCAR format:
```
TlCuMoPd
1.0
0.000 3.216 3.216
3.216 0.000 3.216
3.216 3.216 0.000
Tl Pd Cu Mo
1 1 1 1
Direct
0.000 0.000 0.000
0.250 0.250 0.250
0.750 0.750 0.750
0.500 0.500 0.500
```

Values from the calculation:
For the distance to the lowest polymorph of the same formula, the calculation gives 0.0000 eV per atom. As for the total magnetization: 1.72 μB/f.u.

# 2
The following is a PBE calculation of a geometry-optimized ZnCuMoPd structure, from OQMD.

The structure in POSCAR format:
```
ZnCuMoPd
1.0
0.000 3.066 3.066
3.066 0.000 3.066
3.066 3.066 0.000
Pd Zn Cu Mo
1 1 1 1
Direct
0.250 0.250 0.250
0.000 0.000 0.000
0.750 0.750 0.750
0.500 0.500 0.500
```

Values from the calculation:
For the distance to the lowest polymorph of the same formula, the calculation gives 0.0000 eV per atom. As for the total magnetization: 0.45 μB/f.u. The energy of formation is 0.148 eV/atom.

# 3
The following is a PBE calculation of a geometry-optimized PrCuMo structure, from OQMD.

The structure in POSCAR format:
```
PrCuMo
1.0
2.159 2.850 2.875
-2.126 1.489 3.783
1.347 -1.489 4.125
Pr Mo Cu
1 1 1
Direct
0.750 0.750 0.750
0.250 0.250 0.250
0.000 0.000 0.000
```

Values from the calculation:
For the distance to the lowest polymorph of the same formula, the calculation gives 0.0000 eV per atom. As for the total magnetization: 2.30 μB/f.u. The energy of formation is 0.831 eV/atom.

# 4
The following is a PBE calculation of a geometry-optimized PrCuMo structure, from OQMD.

The structure in POSCAR format:
```
PrCuMo
1.0
0.000 3.304 3.304
3.304 0.000 3.304
3.304 3.304 0.000
Mo Cu Pr
1 1 1
Direct
0.750 0.750 0.750
0.250 0.250 0.250
0.000 0.000 0.000
```

Values from the calculation:
For the distance to the lowest polymorph of the same formula, the calculation gives 0.5735 eV per atom. As for the total magnetization: 2.58 μB/f.u. The energy of formation is 1.404 eV/atom.

# 5
The following is a PBE calculation of a geometry-optimized Pr2CuSb4Mo structure, from OQMD.

The structure in POSCAR format:
```
Pr2CuSb4Mo
1.0
-3.730 -1.504 1.586
-1.551 -0.390 -4.017
3.834 -10.043 -0.506
Pr Sb Mo Cu
2 4 1 1
Direct
0.000 0.500 0.265
0.500 0.000 0.735
0.500 0.000 0.154
0.500 0.500 0.500
0.000 0.500 0.846
0.000 0.000 0.500
0.500 0.500 0.000
0.000 0.000 0.000
```

Values from the calculation:
Its uncorrected energy is -0.204 hartree per atom. As for the total magnetization: 0.98 μB/f.u.

# 6
The following is a PBE calculation of a geometry-optimized CuMoPt6 structure, from OQMD.

The structure in POSCAR format:
```
CuMoPt6
1.0
-1.671 0.672 -3.513
3.226 -1.392 -1.801
-3.042 -7.152 0.078
Pt Mo Cu
6 1 1
Direct
0.500 0.000 0.749
0.000 0.500 0.251
0.500 0.000 0.251
0.000 0.500 0.749
0.500 0.500 0.500
0.500 0.500 0.000
0.000 0.000 0.500
0.000 0.000 0.000
```

Values from the calculation:
As for the total magnetization: 0.07 μB/f.u. The energy of formation is -0.227 eV/atom.

# 7
The following is a PBE calculation of a geometry-optimized CuSbMoPt structure, from OQMD.

The structure in POSCAR format:
```
CuSbMoPt
1.0
-1.836 -0.501 4.114
-4.497 0.241 0.520
-2.371 -3.736 0.984
Cu Mo Pt Sb
1 1 1 1
Direct
0.750 0.750 0.750
0.250 0.250 0.250
0.500 0.500 0.500
0.000 0.000 0.000
```

Values from the calculation:
For the distance to the lowest polymorph of the same formula, the calculation gives 0.0000 eV per atom. As for the total magnetization: 0.40 μB/f.u.

# 8
The following is a PBE calculation of a geometry-optimized CuSbMoPt structure, from OQMD.

The structure in POSCAR format:
```
CuSbMoPt
1.0
0.000 3.248 3.248
3.248 0.000 3.248
3.248 3.248 0.000
Cu Sb Mo Pt
1 1 1 1
Direct
0.750 0.750 0.750
0.000 0.000 0.000
0.500 0.500 0.500
0.250 0.250 0.250
```

Values from the calculation:
For the distance to the lowest polymorph of the same formula, the calculation gives 0.1774 eV per atom. As for the total magnetization: 2.50 μB/f.u.